[1]
Material: K2Cd5Pt2
Method: DFT, PBE
State: relaxed

a b c (Å): 5.3376 5.3376 8.3784
angles (deg): 90.00 90.00 90.00
Closest atoms and distances in Å follow each position.
Positions (direct):
K  0.0000  0.0000  0.0000  8 Cd 3.28
K  0.0000  0.0000  0.5000  12 Cd 3.52-3.77
Cd  0.0000  0.5000  0.2267  2 Pt 2.71
Cd  0.0000  0.5000  0.7733  2 Pt 2.71
Cd  0.5000  0.0000  0.2267  2 Pt 2.71
Cd  0.5000  0.0000  0.7733  2 Pt 2.71
Cd  0.5000  0.5000  0.5000  2 Pt 2.74
Pt  0.5000  0.5000  0.1731  5 Cd 2.71-2.74, 1 Pt 2.90
Pt  0.5000  0.5000  0.8269  5 Cd 2.71-2.74, 1 Pt 2.90

The calculated density comes out at 7.17 Mg/m³. The spin magnetization is 0.00 μB/f.u. As for the total energy: -2.233 eV/atom. Its symmetry is No. 123. The calculation puts the calculated formation energy at -13.33 kJ per mole of atoms.

***

[2]
Material: Tb2MnC2
Method: DFT, PBE
State: relaxed

a b c (Å): 7.7535 6.1238 6.1893
angles (deg): 90.00 100.55 90.00
Closest atoms and distances in Å follow each position.
Positions (direct):
Tb  0.0745  0.2306  0.0345  4 C 2.42-2.68
Tb  0.0745  0.2694  0.5345  4 C 2.42-2.68
Tb  0.3221  0.6176  0.9130  4 C 2.43-2.63
Tb  0.3221  0.8824  0.4130  4 C 2.43-2.63
Tb  0.6779  0.1176  0.5870  4 C 2.43-2.63
Tb  0.6779  0.3824  0.0870  4 C 2.43-2.63
Tb  0.9255  0.7306  0.4655  4 C 2.42-2.68
Tb  0.9255  0.7694  0.9655  4 C 2.42-2.68
Mn  0.3885  0.0859  0.8574  4 C 1.94-2.12
Mn  0.3885  0.4141  0.3574  4 C 1.94-2.12
Mn  0.6115  0.5859  0.6426  4 C 1.94-2.12
Mn  0.6115  0.9141  0.1426  4 C 1.94-2.12
C  0.1600  0.5587  0.2463  1 Mn 1.99
C  0.1600  0.9413  0.7463  1 Mn 1.99
C  0.4312  0.1702  0.1652  3 Mn 1.94-2.12
C  0.4312  0.3298  0.6652  3 Mn 1.94-2.12
C  0.5688  0.6702  0.3348  3 Mn 1.94-2.12
C  0.5688  0.8298  0.8348  3 Mn 1.94-2.12
C  0.8400  0.0587  0.2537  1 Mn 1.99
C  0.8400  0.4413  0.7537  1 Mn 1.99

The excess energy over the best structure of this formula in the dataset comes out at 0.542 eV per formula unit. The calculated density comes out at 9.12 Mg/m³. The spin magnetization is 0.00 μB/f.u. As for the total energy: -7.560 eV/atom. Its symmetry is No. 14. The calculation puts the calculated formation energy at -17.80 kJ per mole of atoms.

***

[3]
Material: Th6CoRu2Se3
Method: DFT, PBE
State: relaxed

a b c (Å): 7.0438 7.0438 7.7245
angles (deg): 98.76 98.76 119.97
Closest atoms and distances in Å follow each position.
Positions (direct):
Th  0.0704  0.3991  0.2116  1 Co 2.79, 2 Ru 2.83
Th  0.2580  0.2580  0.7880  1 Co 2.79, 2 Ru 2.83
Th  0.3991  0.0704  0.2116  1 Co 2.79, 2 Ru 2.83
Th  0.6009  0.9296  0.7884  1 Co 2.79, 2 Ru 2.83
Th  0.7420  0.7420  0.2120  1 Co 2.79, 2 Ru 2.83
Th  0.9296  0.6009  0.7884  1 Co 2.79, 2 Ru 2.83
Co  0.0000  0.0000  0.0000  6 Th 2.79
Ru  0.3334  0.6666  0.0000  6 Th 2.83
Ru  0.6666  0.3334  0.0000  6 Th 2.83
Se  0.1678  0.8322  0.5000  6 Th 3.15-3.18
Se  0.5000  0.5000  0.5000  6 Th 3.15-3.19
Se  0.8322  0.1678  0.5000  6 Th 3.15-3.18

As for the energy relative to the elements, uncorrected: -1.0270 eV/atom. The calculated density comes out at 9.93 Mg/m³. The spin magnetization is 0.00 μB/f.u. As for the total energy: -7.746 eV/atom. Its symmetry is No. 12.

***

[4]
Material: BaCaZr2Si
Method: DFT, PBE
State: relaxed

a b c (Å): 5.1995 5.1995 6.1677
angles (deg): 90.00 90.00 90.00
Closest atoms and distances in Å follow each position.
Positions (direct):
Ba  0.0000  0.0000  0.0000  2 Si 3.08
Ca  0.5000  0.5000  0.0000  4 Ba 3.68, 8 Zr 4.03
Zr  0.0000  0.5000  0.5000  2 Si 2.60
Zr  0.5000  0.0000  0.5000  2 Si 2.60
Si  0.0000  0.0000  0.5000  4 Zr 2.60

As for the energy relative to the elements, uncorrected: 0.3130 eV/atom. The calculated density comes out at 3.86 Mg/m³. The spin magnetization is 0.01 μB/f.u. As for the total energy: -4.976 eV/atom. Its symmetry is No. 123.

***

[5]
Material: NaTcPt
Method: DFT, PBE
State: relaxed

a b c (Å): 4.6680 4.6680 2.6298
angles (deg): 90.00 90.00 120.00
Closest atoms and distances in Å follow each position.
Positions (direct):
Na  0.0000  0.0000  0.0000  2 Na 2.63
Tc  0.3333  0.6667  0.5000  2 Tc 2.63, 3 Pt 2.70
Pt  0.6667  0.3333  0.5000  2 Pt 2.63, 3 Tc 2.70

The excess energy over the best structure of this formula in the dataset comes out at 1.197 eV per formula unit. The calculated density comes out at 10.58 Mg/m³. The spin magnetization is 0.00 μB/f.u. As for the total energy: -5.462 eV/atom. Its symmetry is No. 187. The calculation puts the calculated formation energy at 43.05 kJ per mole of atoms.

***

[6]
Material: LaSiSb2Te
Method: DFT, PBE
State: relaxed

a b c (Å): 5.2668 5.2668 5.3383
angles (deg): 90.00 90.00 90.00
Closest atoms and distances in Å follow each position.
Positions (direct):
La  0.0000  0.0000  0.0000  4 Te 3.72, 8 Sb 3.75
Si  0.5000  0.5000  0.5000  4 Sb 2.63, 2 Te 2.67
Sb  0.0000  0.5000  0.5000  2 Si 2.63
Sb  0.5000  0.0000  0.5000  2 Si 2.63
Te  0.5000  0.5000  0.0000  2 Si 2.67

The excess energy over the best structure of this formula in the dataset comes out at 0.000 eV per formula unit. As for the energy relative to the elements, uncorrected: -0.1418 eV/atom. The calculated density comes out at 6.03 Mg/m³. The spin magnetization is 0.00 μB/f.u. As for the total energy: -4.489 eV/atom. Its symmetry is No. 123.

***

So what do the calculations give for volume? Going down the list: 239, 289, 316, 167, 50, 148 Å³ per cell.